DFT (PBE) results for a relaxed Y3HoTh2As6 crystal.

Unit cell a=9.313 b=9.313 c=8.319 alpha=102.80 beta=102.80 gamma=25.92
Positions (direct):
Y 0.000 0.000 0.000
Y 0.334 0.334 0.666
Y 0.666 0.666 0.334
Ho 0.000 0.000 0.500
Th 0.335 0.335 0.170
Th 0.665 0.665 0.830
As 0.165 0.165 0.087
As 0.166 0.166 0.578
As 0.498 0.498 0.748
As 0.502 0.502 0.252
As 0.834 0.834 0.422
As 0.835 0.835 0.913

**DOS(E_F)**: 0.335 states/eV/atom
**Space-group type**: No. 12
**E**: -84.78 eV/f.u.
**Formation energy**: -1.506 eV/atom

***

DFT (PBE) results for a relaxed La8OsN2 crystal.

Unit cell a=7.992 b=7.992 c=6.585 alpha=93.00 beta=93.00 gamma=61.55
Positions (direct):
La 0.126 0.682 0.751
La 0.176 0.176 0.764
La 0.318 0.874 0.249
La 0.346 0.346 0.253
La 0.654 0.654 0.747
La 0.682 0.126 0.751
La 0.824 0.824 0.236
La 0.874 0.318 0.249
Os 0.000 0.000 0.500
N 0.192 0.192 0.133
N 0.808 0.808 0.867

**DOS(E_F)**: 1.064 states/eV/atom
**Space-group type**: No. 12
**E**: -72.27 eV/f.u.

***

DFT (PBE) results for a relaxed YInSe3 crystal.

Unit cell a=7.287 b=4.168 c=10.490 alpha=90.00 beta=98.36 gamma=90.00
Positions (direct):
Y 0.211 0.250 0.433
Y 0.789 0.750 0.567
In 0.406 0.250 0.860
In 0.594 0.750 0.140
Se 0.037 0.250 0.657
Se 0.265 0.750 0.966
Se 0.469 0.750 0.361
Se 0.531 0.250 0.639
Se 0.735 0.250 0.034
Se 0.963 0.750 0.343

**Polymorph energy (0 for the lowest one)**: 34 meV/atom
**Space-group type**: No. 11
**E**: -25.45 eV/f.u.